Cs4Tl3Te5: relaxed, PBE.

a b c (Å): 21.438 5.915 9.131
angles (deg): 90.00 108.98 90.00
Space group C2/m (No. 12)
Inequivalent atoms, fractional coordinates:
Cs 0.092 0.000 0.412 (multiplicity 4)
Cs 0.160 0.000 0.933 (multiplicity 4)
Tl 0.000 0.500 0.000 (multiplicity 2)
Tl 0.217 0.500 0.624 (multiplicity 4)
Te 0.000 0.000 0.000 (multiplicity 2)
Te 0.049 0.500 0.645 (multiplicity 4)
Te 0.199 0.500 0.265 (multiplicity 4)

Calculated values
- E_tot: -2.833 eV/atom
- M_tot: 0.0 Bohr magnetons per cell
- Formation energy from raw total energies: -7.77 eV/f.u.